Entry 1:
DFT (GGA-PBE) results for an optimized crystal structure of MnAlW2.

a = 2.7990 Å, b = 2.7990 Å, c = 7.4344 Å
α = 90.00°, β = 90.00°, γ = 90.00°
Atoms (fractional coordinates):
Mn  0.0000  0.0000  0.0000
Al  0.0000  0.0000  0.5000
W  0.5000  0.5000  0.2258
W  0.5000  0.5000  0.7742

Entry 2:
DFT (GGA-PBE) results for an optimized crystal structure of MnAlW2.

a = 2.7131 Å, b = 2.7131 Å, c = 8.3910 Å
α = 90.00°, β = 90.00°, γ = 107.24°
Atoms (fractional coordinates):
Mn  0.0000  0.0000  0.0000
Al  0.0000  0.0000  0.5000
W  0.5000  0.5000  0.2418
W  0.5000  0.5000  0.7582

Entry 3:
DFT (GGA-PBE) results for an optimized crystal structure of MnAlW2.

a = 5.0485 Å, b = 5.0485 Å, c = 2.6964 Å
α = 98.40°, β = 98.40°, γ = 116.50°
Atoms (fractional coordinates):
Mn  0.0000  0.0000  0.0000
Al  0.5000  0.5000  0.0000
W  0.0000  0.5000  0.5000
W  0.5000  0.0000  0.5000

Entry 4:
DFT (GGA-PBE) results for an optimized crystal structure of MnAlW2.

a = 3.1950 Å, b = 3.1950 Å, c = 5.8550 Å
α = 90.00°, β = 90.00°, γ = 90.00°
Atoms (fractional coordinates):
Mn  0.0000  0.0000  0.0000
Al  0.5000  0.5000  0.7624
W  0.0000  0.0000  0.5007
W  0.5000  0.5000  0.2497

Entry 5:
DFT (GGA-PBE) results for an optimized crystal structure of Y2MnAl3.

a = 5.4668 Å, b = 5.4668 Å, c = 5.4668 Å
α = 61.41°, β = 61.41°, γ = 61.41°
Atoms (fractional coordinates):
Y  0.1263  0.1263  0.1263
Y  0.8737  0.8737  0.8737
Mn  0.5000  0.5000  0.5000
Al  0.0000  0.5000  0.5000
Al  0.5000  0.0000  0.5000
Al  0.5000  0.5000  0.0000

Entry 6:
DFT (GGA-PBE) results for an optimized crystal structure of YMnAl3.

a = 4.5485 Å, b = 4.5485 Å, c = 4.5485 Å
α = 90.00°, β = 90.00°, γ = 90.00°
Atoms (fractional coordinates):
Y  0.0000  0.0000  0.0000
Mn  0.5000  0.5000  0.5000
Al  0.0000  0.5000  0.5000
Al  0.5000  0.0000  0.5000
Al  0.5000  0.5000  0.0000

Entry 7:
DFT (GGA-PBE) results for an optimized crystal structure of YMnAl4.

a = 7.7464 Å, b = 4.0147 Å, c = 6.8420 Å
α = 90.00°, β = 90.00°, γ = 90.00°
Atoms (fractional coordinates):
Y  0.2500  0.0000  0.1235
Y  0.7500  0.0000  0.8765
Mn  0.2500  0.0000  0.6952
Mn  0.7500  0.0000  0.3048
Al  0.0000  0.0000  0.5000
Al  0.0675  0.5000  0.8105
Al  0.2500  0.5000  0.4592
Al  0.4325  0.5000  0.8105
Al  0.5000  0.0000  0.5000
Al  0.5675  0.5000  0.1895
Al  0.7500  0.5000  0.5408
Al  0.9325  0.5000  0.1895

Entry 8:
DFT (GGA-PBE) results for an optimized crystal structure of YMnAl3.

a = 5.3388 Å, b = 5.3388 Å, c = 5.3388 Å
α = 90.00°, β = 90.00°, γ = 90.00°
Atoms (fractional coordinates):
Y  0.0000  0.0000  0.0000
Mn  0.5000  0.5000  0.5000
Al  0.0000  0.0000  0.5000
Al  0.0000  0.5000  0.0000
Al  0.5000  0.0000  0.0000

no.,calculated total energy (eV per atom),formation enthalpy at 0 K (eV per formula unit)
1,-9.6004,0.4
2,-9.6318,0.3
3,-9.6472,0.2
4,-9.6718,0.1
5,-5.9765,-2.5
6,-5.6066,-1.2
7,-5.4655,-2.2
8,-3.4726,9.5